No. 1
# Pm3GaAu

Pm3GaAu after structural relaxation (PBE, Alexandria via LeMat-Bulk).

Properties
calculated volume	27.4	A^3/atom
symmetry	C2/m
raw total energy	-4.6251	eV per atom

abc: 6.806 9.802 9.306
angles: 118.02 90.00 90.00
Atoms (fractional coordinates):
Pm1 0.000 0.695 0.855
Pm2 0.000 0.305 0.145
Pm3 0.500 0.805 0.145
Pm4 0.500 0.195 0.855
Pm5 0.500 0.491 0.736
Pm6 0.500 0.509 0.264
Pm7 0.000 0.009 0.264
Pm8 0.000 0.991 0.736
Pm9 0.000 0.303 0.658
Pm10 0.000 0.697 0.342
Pm11 0.500 0.197 0.342
Pm12 0.500 0.803 0.658
Ga1 0.805 0.500 0.500
Ga2 0.195 0.500 0.500
Ga3 0.305 0.000 0.500
Ga4 0.695 0.000 0.500
Au1 0.219 0.500 0.000
Au2 0.781 0.500 0.000
Au3 0.719 0.000 0.000
Au4 0.281 0.000 0.000

No. 2
# Pm3Ga2Au

Pm3Ga2Au after structural relaxation (PBE, Alexandria via LeMat-Bulk).

Properties
calculated volume	24.9	A^3/atom
symmetry	P4/mmm
raw total energy	-4.5525	eV per atom

abc: 3.628 3.628 11.360
angles: 90.00 90.00 90.00
Atoms (fractional coordinates):
Pm1 0.000 0.000 0.000
Pm2 0.000 0.000 0.668
Pm3 0.000 0.000 0.332
Ga1 0.500 0.500 0.832
Ga2 0.500 0.500 0.168
Au1 0.500 0.500 0.500

No. 3
# PmGaAu4

PmGaAu4 after structural relaxation (PBE, Alexandria via LeMat-Bulk).

Properties
distance to the lowest polymorph of the same formula	0	meV per atom
calculated volume	20.7	A^3/atom
symmetry	C2/m

abc: 6.335 7.901 6.335
angles: 70.80 57.66 70.80
Atoms (fractional coordinates):
Pm1 0.198 0.184 0.198
Pm2 0.802 0.816 0.802
Ga1 0.440 0.780 0.440
Ga2 0.560 0.220 0.560
Au1 0.219 0.775 0.219
Au2 0.869 0.559 0.348
Au3 0.755 0.000 0.245
Au4 0.652 0.441 0.131
Au5 0.781 0.225 0.781
Au6 0.131 0.441 0.652
Au7 0.245 0.000 0.755
Au8 0.348 0.559 0.869

No. 4
# Pm4Ga12Au

Pm4Ga12Au after structural relaxation (PBE, Alexandria via LeMat-Bulk).

Properties
calculated volume	20.1	A^3/atom
symmetry	Im-3m
raw total energy	-4.0198	eV per atom

abc: 7.629 7.629 7.629
angles: 109.47 109.47 109.47
Atoms (fractional coordinates):
Pm1 0.000 0.000 0.500
Pm2 0.500 0.000 0.000
Pm3 0.500 0.500 0.500
Pm4 0.000 0.500 0.000
Ga1 0.000 0.304 0.304
Ga2 0.000 0.696 0.696
Ga3 0.696 0.696 0.000
Ga4 0.304 0.304 0.000
Ga5 0.304 0.000 0.304
Ga6 0.696 0.000 0.696
Ga7 0.500 0.250 0.750
Ga8 0.500 0.750 0.250
Ga9 0.750 0.250 0.500
Ga10 0.250 0.750 0.500
Ga11 0.750 0.500 0.250
Ga12 0.250 0.500 0.750
Au1 0.000 0.000 0.000